Record 1
Computed, not measured: crystalline HfCdCu2Rh at its relaxed geometry at the PBE level of DFT.

abc: 4.5260 4.9713 4.5260
angles: 90.00 90.00 90.00
Closest atoms and distances in Å follow each position.
Fractional coordinates of all 5 atoms:
Cd1 0.0000 0.0000 0.0000  4 Cu 2.26, 2 Rh 2.49
Cu1 0.5000 0.0000 0.0000  2 Cd 2.26
Hf1 0.5000 0.5000 0.5000  4 Rh 3.20, 8 Cu 3.36
Cu2 0.0000 0.0000 0.5000  2 Cd 2.26
Rh1 0.0000 0.5000 0.0000  2 Cd 2.49

Properties
ΔE_f ... 4.8 eV/f.u.

---

Record 2
Computed, not measured: crystalline Er7Mg4Pb at its relaxed geometry at the PBE level of DFT.

abc: 5.7216 9.1560 7.9197
angles: 67.02 68.82 71.79
Closest atoms and distances in Å follow each position.
Fractional coordinates of all 12 atoms:
Er1 0.5000 0.0000 0.0000  2 Pb 2.86, 2 Mg 3.08
Er2 0.2383 0.7337 0.7896  4 Mg 3.06-3.26, 1 Pb 3.17, 1 Er 3.41
Er3 0.9105 0.4520 0.7270  3 Mg 3.04-3.33, 1 Er 3.19
Er4 0.8212 0.8703 0.4872  7 Er 3.41-3.68, 1 Pb 3.42, 3 Mg 3.46-3.73
Mg1 0.3257 0.3561 0.9925  1 Mg 3.01, 5 Er 3.04-3.26
Mg2 0.4600 0.6806 0.3995  2 Mg 3.01-3.02, 4 Er 3.06-3.36
Mg3 0.5400 0.3194 0.6005  2 Mg 3.01-3.02, 4 Er 3.06-3.36
Pb1 0.0000 0.0000 0.0000  4 Er 2.86-3.17
Mg4 0.6743 0.6439 0.0075  1 Mg 3.01, 5 Er 3.04-3.26
Er5 0.0895 0.5480 0.2730  3 Mg 3.04-3.33, 1 Er 3.19
Er6 0.7617 0.2663 0.2104  4 Mg 3.06-3.26, 1 Pb 3.17, 1 Er 3.41
Er7 0.1788 0.1297 0.5128  7 Er 3.41-3.68, 1 Pb 3.42, 3 Mg 3.46-3.73

Properties
ΔE_f ... 0.8 eV/f.u.

---

Record 3
Computed, not measured: crystalline SrEuAg2 at its relaxed geometry at the PBE level of DFT.

abc: 3.8768 3.8768 7.7401
angles: 90.00 90.00 90.00
Closest atoms and distances in Å follow each position.
Fractional coordinates of all 4 atoms:
Eu1 0.5000 0.5000 0.0000  8 Ag 3.29
Ag1 0.0000 0.0000 0.2358  4 Eu 3.29, 4 Sr 3.42, 1 Ag 3.65
Ag2 0.0000 0.0000 0.7642  4 Eu 3.29, 4 Sr 3.42, 1 Ag 3.65
Sr1 0.5000 0.5000 0.5000  8 Ag 3.42

Properties
ΔE_f ... -1.1 eV/f.u.

---

Record 4
Computed, not measured: crystalline La2InAs at its relaxed geometry at the PBE level of DFT.

abc: 5.3799 5.3799 5.3799
angles: 60.00 60.00 60.00
Closest atoms and distances in Å follow each position.
Fractional coordinates of all 4 atoms:
In1 0.7500 0.7500 0.7500  4 As 3.29, 4 La 3.29
As1 0.5000 0.5000 0.5000  4 La 3.29, 4 In 3.29
La1 0.2500 0.2500 0.2500  4 La 3.29, 4 As 3.29
La2 0.0000 0.0000 0.0000  4 In 3.29, 4 La 3.29

Properties
ΔE_f ... -0.9 eV/f.u.
Relative energy among the computed polymorphs ... 709.0 meV/atom

---

Density of states at the Fermi level, record by record: 3.975; 14.019; 7.787; 4.997 states/eV/cell
E_tot, record by record: -4.3248; -3.4335; -4.6938; -4.5356 eV per atom